[1]
First-principles (PBE) data for a geometry-optimized MnSbCl3 structure, as listed in Alexandria.

ρ: 2.91 g/cm3
V: 161 Å³ per cell
polymorph energy (0 for the lowest one): 310 meV/atom
crystal system: cubic
uncorrected energy: -18.8 eV/cell

Cell: 5.4444 5.4444 5.4444 Å, 90.00 90.00 90.00°
Closest atoms and distances in Å follow each position.
Atoms (fractional coordinates):
1 Mn 0.0000 0.0000 0.0000  12 Cl 3.85
2 Sb 0.5000 0.5000 0.5000  6 Cl 2.72
3 Cl 0.0000 0.5000 0.5000  2 Sb 2.72
4 Cl 0.5000 0.0000 0.5000  2 Sb 2.72
5 Cl 0.5000 0.5000 0.0000  2 Sb 2.72

[2]
First-principles (PBE) data for a geometry-optimized Zn2CuSi structure, as listed in Alexandria.

ρ: 6.52 g/cm3
V: 57 Å³ per cell
crystal system: tetragonal
uncorrected energy: -11.6 eV/cell

Cell: 2.6701 2.6701 7.9459 Å, 90.00 90.00 90.00°
Closest atoms and distances in Å follow each position.
Atoms (fractional coordinates):
1 Zn 0.0000 0.0000 0.0000  8 Zn 2.67-2.77, 4 Si 2.96
2 Zn 0.5000 0.5000 0.2553  4 Cu 2.65, 8 Zn 2.67-2.77
3 Cu 0.0000 0.0000 0.4893  4 Si 2.59, 4 Zn 2.65, 4 Cu 2.67
4 Si 0.5000 0.5000 0.7132  4 Cu 2.59, 4 Si 2.67

[3]
First-principles (PBE) data for a geometry-optimized ZrRuPb2O structure, as listed in Alexandria.

ρ: 9.97 g/cm3
V: 104 Å³ per cell
crystal system: tetragonal
uncorrected energy: -30.7 eV/cell

Cell: 5.2882 5.2882 3.7069 Å, 90.00 90.00 90.00°
Closest atoms and distances in Å follow each position.
Atoms (fractional coordinates):
1 Zr 0.0000 0.0000 0.0000  8 Pb 3.23
2 Ru 0.5000 0.5000 0.0000  2 O 1.85
3 Pb 0.0000 0.5000 0.5000  2 O 2.64
4 Pb 0.5000 0.0000 0.5000  2 O 2.64
5 O 0.5000 0.5000 0.5000  2 Ru 1.85